# PmSm6Sc

PmSm6Sc after structural relaxation (PBE, the Alexandria database).

abc: 5.076 5.076 10.119
angles: 90.00 90.00 90.00
Fractional positions:
Pm  0.000  0.000  0.000
Sm  0.000  0.500  0.257
Sm  0.000  0.500  0.743
Sm  0.500  0.000  0.257
Sm  0.500  0.000  0.743
Sm  0.500  0.500  0.000
Sm  0.500  0.500  0.500
Sc  0.000  0.000  0.500

Space-group type   No. 123
E_form   33 meV/atom
Polymorph energy (0 for the lowest one)   0 meV/atom
Calculated volume   32.6 A^3/atom

# K4Ac3BO8

K4Ac3BO8 after structural relaxation (PBE, the Alexandria database).

abc: 7.541 7.541 7.260
angles: 111.97 111.97 55.75
Fractional positions:
K  0.000  0.000  0.000
K  0.000  0.500  0.000
K  0.500  0.000  0.000
K  0.500  0.500  0.000
Ac  0.000  0.000  0.500
Ac  0.000  0.500  0.500
Ac  0.500  0.000  0.500
B  0.500  0.500  0.500
O  0.196  0.196  0.242
O  0.204  0.204  0.701
O  0.294  0.629  0.617
O  0.371  0.706  0.383
O  0.629  0.294  0.617
O  0.706  0.371  0.383
O  0.796  0.796  0.299
O  0.804  0.804  0.758

Space-group type   No. 12
Calculated volume   19.3 A^3/atom
ΔE_f (raw)   -2.07 eV/atom

# PIrAuC

PIrAuC after structural relaxation (PBE, the Alexandria database).

abc: 3.842 3.842 5.039
angles: 111.68 111.68 63.80
Fractional positions:
P  0.000  0.000  0.000
Ir  0.285  0.285  0.831
Au  0.517  0.517  0.450
C  0.087  0.087  0.386

Space-group type   No. 8
E_form   466 meV/atom
Polymorph energy (0 for the lowest one)   92 meV/atom
Calculated volume   15.0 A^3/atom

# Ga2Pd2Se

Ga2Pd2Se after structural relaxation (PBE, the Alexandria database).

abc: 6.654 6.654 6.654
angles: 145.95 145.95 48.92
Fractional positions:
Ga  0.111  0.111  0.000
Ga  0.889  0.889  0.000
Pd  0.250  0.750  0.500
Pd  0.750  0.250  0.500
Se  0.500  0.500  0.000

Space-group type   No. 139
Polymorph energy (0 for the lowest one)   136 meV/atom
Calculated volume   18.4 A^3/atom
ΔE_f (raw)   -0.22 eV/atom

# CaRhBr2

CaRhBr2 after structural relaxation (PBE, the Alexandria database).

abc: 5.096 5.096 5.096
angles: 60.00 60.00 60.00
Fractional positions:
Ca  0.000  0.000  0.000
Rh  0.750  0.750  0.750
Br  0.250  0.250  0.250
Br  0.500  0.500  0.500

Space-group type   No. 216
Polymorph energy (0 for the lowest one)   600 meV/atom
Calculated volume   23.4 A^3/atom
ΔE_f (raw)   -0.22 eV/atom

# Ac4TlAu

Ac4TlAu after structural relaxation (PBE, the Alexandria database).

abc: 6.963 7.648 9.268
angles: 90.00 109.61 90.00
Fractional positions:
Ac  0.012  0.002  0.234
Ac  0.012  0.498  0.234
Ac  0.413  0.250  0.625
Ac  0.427  0.250  0.085
Ac  0.573  0.750  0.915
Ac  0.587  0.750  0.375
Ac  0.988  0.502  0.766
Ac  0.988  0.998  0.766
Tl  0.225  0.750  0.557
Tl  0.775  0.250  0.443
Au  0.213  0.750  0.052
Au  0.787  0.250  0.948

Space-group type   No. 11
E_form   -353 meV/atom
Polymorph energy (0 for the lowest one)   0 meV/atom
Calculated volume   38.7 A^3/atom

# SmGa4Ni2Ir

SmGa4Ni2Ir after structural relaxation (PBE, the Alexandria database).

abc: 9.228 9.228 9.228
angles: 25.90 25.90 25.90
Fractional positions:
Sm  0.000  0.000  0.000
Ga  0.129  0.129  0.129
Ga  0.402  0.402  0.402
Ga  0.598  0.598  0.598
Ga  0.871  0.871  0.871
Ni  0.230  0.230  0.230
Ni  0.770  0.770  0.770
Ir  0.500  0.500  0.500

Space-group type   No. 166
E_form   -476 meV/atom
Calculated volume   16.5 A^3/atom

# K2AlCo2

K2AlCo2 after structural relaxation (PBE, the Alexandria database).

abc: 7.619 7.619 7.619
angles: 148.86 148.86 44.61
Fractional positions:
K  0.250  0.750  0.500
K  0.750  0.250  0.500
Al  0.000  0.000  0.000
Co  0.428  0.428  0.000
Co  0.572  0.572  0.000

Space-group type   No. 139
E_form   1191 meV/atom
Polymorph energy (0 for the lowest one)   580 meV/atom
Calculated volume   23.6 A^3/atom

# Li2SmAs2Au2

Li2SmAs2Au2 after structural relaxation (PBE, the Alexandria database).

abc: 8.264 8.264 8.264
angles: 30.60 30.60 30.60
Fractional positions:
Li  0.147  0.147  0.147
Li  0.853  0.853  0.853
Sm  0.000  0.000  0.000
As  0.262  0.262  0.262
As  0.738  0.738  0.738
Au  0.438  0.438  0.438
Au  0.562  0.562  0.562

Space-group type   No. 166
E_form   -761 meV/atom
Calculated volume   18.5 A^3/atom

# Pm2IrCl2

Pm2IrCl2 after structural relaxation (PBE, the Alexandria database).

abc: 10.794 10.794 10.794
angles: 21.66 21.66 21.66
Fractional positions:
Pm  0.114  0.114  0.114
Pm  0.886  0.886  0.886
Ir  0.500  0.500  0.500
Cl  0.274  0.274  0.274
Cl  0.726  0.726  0.726

Space-group type   No. 166
Calculated volume   30.0 A^3/atom
ΔE_f (raw)   -1.48 eV/atom

# SrNd2Al

SrNd2Al after structural relaxation (PBE, the Alexandria database).

abc: 3.786 3.786 9.723
angles: 90.00 90.00 90.00
Fractional positions:
Sr  0.000  0.000  0.000
Nd  0.500  0.500  0.318
Nd  0.500  0.500  0.682
Al  0.000  0.000  0.500

Space-group type   No. 123
E_form   -85 meV/atom
Polymorph energy (0 for the lowest one)   0 meV/atom
Calculated volume   34.8 A^3/atom

# CaInCo2

CaInCo2 after structural relaxation (PBE, the Alexandria database).

abc: 8.583 8.583 8.583
angles: 21.29 21.29 21.29
Fractional positions:
Ca  0.000  0.000  0.000
In  0.500  0.500  0.500
Co  0.244  0.244  0.244
Co  0.756  0.756  0.756

Space-group type   No. 166
E_form   576 meV/atom
Calculated volume   18.3 A^3/atom